Entry from the Alexandria database: crystalline BaCa2TeF at its relaxed geometry (GGA-PBE).

Unit cell a=7.3932 b=6.2294 c=7.3932 alpha=90.00 beta=90.00 gamma=90.00
Fractional positions:
Ca: 0.0000 0.0000 0.5000
Ca: 0.5000 0.0000 0.0000
Te: 0.0000 0.5000 0.0000
Ba: 0.0000 0.0000 0.0000
F: 0.5000 0.5000 0.5000

Output
Formation energy (no corrections) (eV/atom): -0.0128